(a)
## Pm2MgAg4 (PBE)

Data for a geometry-optimized Pm2MgAg4 structure.

Values from the calculation:
Volume: 374.8 Å³/cell
Spin magnetization: 0.00 Bohr magnetons per cell

a b c (Å): 4.928 4.928 15.436
angles (deg): 90.00 90.00 90.00
Space group I4/mmm (No. 139)
Unique sites:
Pm  0.000  0.000  0.131 [4 per cell]
Mg  0.000  0.000  0.500 [2 per cell]
Ag  0.000  0.000  0.327 [4 per cell]
Ag  0.000  0.500  0.000 [4 per cell]

***

(b)
## Pm2MgAg4 (PBE)

Data for a geometry-optimized Pm2MgAg4 structure.

Values from the calculation:
Volume: 533.8 Å³/cell
Spin magnetization: 0.00 Bohr magnetons per cell

a b c (Å): 4.6828 4.6828 28.1078
angles (deg): 90.00 90.00 120.00
Space group R-3m (No. 166, hexagonal axes)
Unique sites:
Pm  0.0000  0.0000  0.2494 [6 per cell]
Mg  0.0000  0.0000  0.0000 [3 per cell]
Ag  0.0000  0.0000  0.1399 [6 per cell]
Ag  0.0000  0.0000  0.3588 [6 per cell]

***

Stability order, top to bottom: (b), (a)

***

(a)
## Pm3Mg5Ag2 (PBE)

Data for a geometry-optimized Pm3Mg5Ag2 structure.

Values from the calculation:
Volume: 505.7 Å³/cell
Spin magnetization: 0.00 Bohr magnetons per cell

a b c (Å): 10.603 10.603 4.498
angles (deg): 90.00 90.00 90.00
Space group P4/mbm (No. 127)
Unique sites:
Pm  0.000  0.000  0.000 [2 per cell]
Pm  0.179  0.321  0.000 [4 per cell]
Mg  0.000  0.500  0.500 [2 per cell]
Mg  0.064  0.783  0.500 [8 per cell]
Ag  0.115  0.615  0.000 [4 per cell]

***

(b)
## Pm3Mg5Ag2 (PBE)

Data for a geometry-optimized Pm3Mg5Ag2 structure.

Values from the calculation:
Volume: 1053.1 Å³/cell
Spin magnetization: 0.00 Bohr magnetons per cell

a b c (Å): 12.783 12.899 6.387
angles (deg): 90.00 90.00 90.00
Space group Ibam (No. 72)
Unique sites:
Pm  0.000  0.000  0.250 [4 per cell]
Pm  0.247  0.140  0.000 [8 per cell]
Mg  0.000  0.262  0.250 [8 per cell]
Mg  0.000  0.500  0.250 [4 per cell]
Mg  0.159  0.395  0.000 [8 per cell]
Ag  0.140  0.147  0.500 [8 per cell]

***

Stability order, top to bottom: (a), (b)

***

(a)
## PmPrMgAg (PBE)

Data for a geometry-optimized PmPrMgAg structure.

Values from the calculation:
Volume: 111.0 Å³/cell
Spin magnetization: 0.00 Bohr magnetons per cell

a b c (Å): 3.855 3.855 7.470
angles (deg): 90.00 90.00 90.00
Space group P4mm (No. 99)
Unique sites:
Pm  0.000  0.000  0.000 [1 per cell]
Pr  0.000  0.000  0.515 [1 per cell]
Mg  0.500  0.500  0.253 [1 per cell]
Ag  0.500  0.500  0.766 [1 per cell]

***

(b)
## PmPrMgAg (PBE)

Data for a geometry-optimized PmPrMgAg structure.

Values from the calculation:
Volume: 448.1 Å³/cell
Spin magnetization: 0.03 Bohr magnetons per cell

a b c (Å): 7.652 7.652 7.652
angles (deg): 90.00 90.00 90.00
Space group F-43m (No. 216)
Unique sites:
Pm  0.000  0.000  0.000 [4 per cell]
Pr  0.000  0.000  0.500 [4 per cell]
Mg  0.250  0.250  0.750 [4 per cell]
Ag  0.250  0.250  0.250 [4 per cell]

***

Stability order, top to bottom: (a), (b)

***

(a)
## PmMgScAg (PBE)

Data for a geometry-optimized PmMgScAg structure.

Values from the calculation:
Volume: 391.7 Å³/cell
Spin magnetization: 0.00 Bohr magnetons per cell

a b c (Å): 7.317 7.317 7.317
angles (deg): 90.00 90.00 90.00
Space group F-43m (No. 216)
Unique sites:
Pm  0.000  0.000  0.000 [4 per cell]
Mg  0.250  0.250  0.750 [4 per cell]
Sc  0.000  0.000  0.500 [4 per cell]
Ag  0.250  0.250  0.250 [4 per cell]

***

(b)
## PmMgScAg (PBE)

Data for a geometry-optimized PmMgScAg structure.

Values from the calculation:
Volume: 97.2 Å³/cell
Spin magnetization: 0.00 Bohr magnetons per cell

a b c (Å): 3.665 3.665 7.240
angles (deg): 90.00 90.00 90.00
Space group P4mm (No. 99)
Unique sites:
Pm  0.000  0.000  0.000 [1 per cell]
Mg  0.500  0.500  0.714 [1 per cell]
Sc  0.000  0.000  0.482 [1 per cell]
Ag  0.500  0.500  0.276 [1 per cell]

***

Stability order, top to bottom: (b), (a)

***

(a)
## TbPmMgAg (PBE)

Data for a geometry-optimized TbPmMgAg structure.

Values from the calculation:
Volume: 105.6 Å³/cell
Spin magnetization: 0.00 Bohr magnetons per cell

a b c (Å): 3.781 3.781 7.388
angles (deg): 90.00 90.00 90.00
Space group P4mm (No. 99)
Unique sites:
Tb  0.000  0.000  0.000 [1 per cell]
Pm  0.000  0.000  0.515 [1 per cell]
Mg  0.500  0.500  0.252 [1 per cell]
Ag  0.500  0.500  0.772 [1 per cell]

***

(b)
## TbPmMgAg (PBE)

Data for a geometry-optimized TbPmMgAg structure.

Values from the calculation:
Volume: 425.2 Å³/cell
Spin magnetization: 0.00 Bohr magnetons per cell

a b c (Å): 7.520 7.520 7.520
angles (deg): 90.00 90.00 90.00
Space group F-43m (No. 216)
Unique sites:
Tb  0.000  0.000  0.000 [4 per cell]
Pm  0.000  0.000  0.500 [4 per cell]
Mg  0.250  0.250  0.750 [4 per cell]
Ag  0.250  0.250  0.250 [4 per cell]

***

Stability order, top to bottom: (a), (b)

***

(a)
## PmYMgAg (PBE)

Data for a geometry-optimized PmYMgAg structure.

Values from the calculation:
Volume: 424.8 Å³/cell
Spin magnetization: 0.00 Bohr magnetons per cell

a b c (Å): 7.517 7.517 7.517
angles (deg): 90.00 90.00 90.00
Space group F-43m (No. 216)
Unique sites:
Pm  0.000  0.000  0.000 [4 per cell]
Y  0.000  0.000  0.500 [4 per cell]
Mg  0.250  0.250  0.750 [4 per cell]
Ag  0.250  0.250  0.250 [4 per cell]

***

(b)
## PmYMgAg (PBE)

Data for a geometry-optimized PmYMgAg structure.

Values from the calculation:
Volume: 105.5 Å³/cell
Spin magnetization: 0.00 Bohr magnetons per cell

a b c (Å): 3.775 3.775 7.402
angles (deg): 90.00 90.00 90.00
Space group P4mm (No. 99)
Unique sites:
Pm  0.000  0.000  0.000 [1 per cell]
Y  0.000  0.000  0.484 [1 per cell]
Mg  0.500  0.500  0.736 [1 per cell]
Ag  0.500  0.500  0.254 [1 per cell]

***

Stability order, top to bottom: (b), (a)

***

(a)
## Pr3MgAg (PBE)

Data for a geometry-optimized Pr3MgAg structure.

Values from the calculation:
Volume: 1223.8 Å³/cell
Spin magnetization: 0.00 Bohr magnetons per cell

a b c (Å): 12.816 6.842 13.957
angles (deg): 90.00 90.22 90.00
Space group C2/c (No. 15)
Unique sites:
Pr  0.079  0.008  0.383 [8 per cell]
Pr  0.150  0.325  0.192 [8 per cell]
Pr  0.180  0.188  0.602 [8 per cell]
Mg  0.083  0.483  0.925 [8 per cell]
Ag  0.000  0.328  0.750 [4 per cell]
Ag  0.250  0.250  0.000 [4 per cell]

***

(b)
## Pr3MgAg (PBE)

Data for a geometry-optimized Pr3MgAg structure.

Values from the calculation:
Volume: 603.9 Å³/cell
Spin magnetization: 0.53 Bohr magnetons per cell

a b c (Å): 5.394 20.746 5.397
angles (deg): 90.00 90.00 90.00
Space group Cmcm (No. 63)
Unique sites:
Pr  0.000  0.060  0.250 [4 per cell]
Pr  0.000  0.249  0.250 [4 per cell]
Pr  0.000  0.436  0.250 [4 per cell]
Mg  0.000  0.154  0.750 [4 per cell]
Ag  0.000  0.340  0.750 [4 per cell]

***

Stability order, top to bottom: (b), (a)

***

(a)
## Pr3Mg2Ag3 (PBE)

Data for a geometry-optimized Pr3Mg2Ag3 structure.

Values from the calculation:
Volume: 413.4 Å³/cell
Spin magnetization: 0.00 Bohr magnetons per cell

a b c (Å): 8.9165 8.9165 6.0045
angles (deg): 90.00 90.00 120.00
Space group P6_3/mcm (No. 193)
Unique sites:
Pr  0.0000  0.2543  0.2500 [6 per cell]
Mg  0.3333  0.6667  0.0000 [4 per cell]
Ag  0.0000  0.4042  0.7500 [6 per cell]

***

(b)
## Pr3Mg2Ag3 (PBE)

Data for a geometry-optimized Pr3Mg2Ag3 structure.

Values from the calculation:
Volume: 418.6 Å³/cell
Spin magnetization: 0.00 Bohr magnetons per cell

a b c (Å): 3.621 5.431 21.285
angles (deg): 90.00 90.00 90.00
Space group Immm (No. 71)
Unique sites:
Pr  0.000  0.000  0.000 [2 per cell]
Pr  0.000  0.500  0.126 [4 per cell]
Mg  0.000  0.000  0.234 [4 per cell]
Ag  0.000  0.000  0.500 [2 per cell]
Ag  0.000  0.500  0.371 [4 per cell]

***

Stability order, top to bottom: (a), (b)